(1)
Compound: Cs2PmSn2Se4
Source: Alexandria via LeMat-Bulk
Functional: GGA-PBE
Structure: optimized geometry

```
Cs2PmSn2Se4
1.0
4.202 0.000 0.000
-2.101 9.536 -0.317
0.000 -3.678 8.157
Se Cs Sn Pm
4 2 2 1
Direct
0.828 0.656 0.794
0.479 0.957 0.211
0.172 0.344 0.206
0.521 0.043 0.789
0.126 0.252 0.558
0.874 0.748 0.442
0.315 0.630 0.993
0.685 0.370 0.007
0.000 0.000 0.000
```

Summary:
Raw formation energy   -1042 meV per atom
Energy   -4.20 eV/atom
SG   C2/m, No. 12
D(E_F)   4.520 states/eV/f.u.

=====

(2)
Compound: Ce4Pu3Ir4
Source: Alexandria via LeMat-Bulk
Functional: GGA-PBE
Structure: optimized geometry

```
Ce4Pu3Ir4
1.0
4.504 0.000 0.000
0.000 7.352 0.000
-2.252 -3.676 7.935
Pu Ir Ce
3 4 4
Direct
0.906 0.906 0.813
0.000 0.500 0.000
0.094 0.094 0.187
0.500 0.803 0.000
0.196 0.696 0.392
0.500 0.197 0.000
0.804 0.304 0.608
0.336 0.103 0.671
0.664 0.897 0.329
0.664 0.431 0.329
0.336 0.569 0.671
```

Summary:
Energy   -9.73 eV/atom
SG   Immm, No. 71
Formation energy   -42.5 kJ/mol of atoms
D(E_F)   31.035 states/eV/f.u.

=====

(3)
Compound: CePuOs2
Source: Alexandria via LeMat-Bulk
Functional: GGA-PBE
Structure: optimized geometry

```
CePuOs2
1.0
-3.223 -1.527 0.578
2.118 -4.080 1.033
0.216 1.260 4.534
Ce Os Pu
1 2 1
Direct
0.500 0.000 0.000
0.000 0.500 0.000
0.000 0.000 0.500
0.500 0.500 0.500
```

Summary:
Energy   -10.67 eV/atom
SG   P4/mmm, No. 123
Formation energy   0.7 kJ/mol of atoms
D(E_F)   6.266 states/eV/f.u.

=====

(4)
Compound: RbNpNiBr6
Source: Alexandria via LeMat-Bulk
Functional: GGA-PBE
Structure: optimized geometry

```
RbNpNiBr6
1.0
7.038 0.000 0.000
3.519 6.094 0.000
0.000 0.000 7.840
Np Br Rb Ni
1 6 1 1
Direct
0.667 0.667 0.500
0.354 0.023 0.699
0.354 0.623 0.301
0.023 0.623 0.699
0.623 0.354 0.699
0.023 0.354 0.301
0.623 0.023 0.301
0.000 0.000 0.000
0.333 0.333 0.500
```

Summary:
Raw formation energy   -1094 meV per atom
Energy   -4.40 eV/atom
SG   P312, No. 149
D(E_F)   8.309 states/eV/f.u.

=====

| no. | magnetization (μB/f.u.) | calculated volume (A^3/atom) |
| --- | --- | --- |
| 1 | 0.02 | 35.8 |
| 2 | 18.74 | 23.9 |
| 3 | 4.30 | 20.0 |
| 4 | 2.00 | 37.4 |